[1]
Below is crystalline YRhCl2 at its relaxed geometry, with properties calculated at the PBE-GGA level.

a = 3.544 Å, b = 4.220 Å, c = 5.120 Å
α = 90.00°, β = 90.00°, γ = 90.00°
Space group Pmmm (No. 47)
Unique sites:
Y 0.000 0.000 0.000
Rh 0.500 0.000 0.500
Cl 0.000 0.500 0.500
Cl 0.500 0.500 0.000

Calculated values
Formation energy from raw total energies = -293 kJ/mol of formula units
Mass density = 5.697 g/cm3



[2]
Below is crystalline YRhCl2 at its relaxed geometry, with properties calculated at the PBE-GGA level.

a = 3.506 Å, b = 4.082 Å, c = 12.947 Å
α = 90.00°, β = 90.00°, γ = 90.00°
Space group Imm2 (No. 44)
Unique sites:
Y 0.000 0.000 0.000
Rh 0.000 0.500 0.350
Cl 0.000 0.000 0.599
Cl 0.000 0.500 0.851

Calculated values
Formation energy from raw total energies = -376 kJ/mol of formula units
Mass density = 4.708 g/cm3



[3]
Below is crystalline YRh2Cl at its relaxed geometry, with properties calculated at the PBE-GGA level.

a = 4.0943 Å, b = 4.0943 Å, c = 20.5956 Å
α = 90.00°, β = 90.00°, γ = 120.00°
Space group R3m (No. 160, hexagonal axes)
Unique sites:
Y 0.0000 0.0000 0.0000
Rh 0.0000 0.0000 0.2526
Rh 0.0000 0.0000 0.5587
Cl 0.0000 0.0000 0.7456

Calculated values
Formation energy from raw total energies = -187 kJ/mol of formula units
Mass density = 5.501 g/cm3



[4]
Below is crystalline Y4RhCl5 at its relaxed geometry, with properties calculated at the PBE-GGA level.

a = 18.925 Å, b = 3.885 Å, c = 8.282 Å
α = 90.00°, β = 98.36°, γ = 90.00°
Space group C2/m (No. 12)
Unique sites:
Y 0.008 0.000 0.225
Y 0.148 0.500 0.059
Rh 0.000 0.500 0.000
Cl 0.000 0.500 0.500
Cl 0.162 0.000 0.299
Cl 0.192 0.000 0.854

Calculated values
Formation energy from raw total energies = -1617 kJ/mol of formula units
Mass density = 3.505 g/cm3



[5]
Below is crystalline YRhCl2 at its relaxed geometry, with properties calculated at the PBE-GGA level.

a = 3.741 Å, b = 3.764 Å, c = 6.314 Å
α = 90.00°, β = 90.00°, γ = 90.00°
Space group Pmm2 (No. 25)
Unique sites:
Y 0.000 0.000 0.000
Rh 0.500 0.500 0.827
Cl 0.000 0.000 0.583
Cl 0.500 0.500 0.199

Calculated values
Formation energy from raw total energies = -404 kJ/mol of formula units
Mass density = 4.907 g/cm3



[6]
Below is crystalline YRh3Cl at its relaxed geometry, with properties calculated at the PBE-GGA level.

a = 4.493 Å, b = 4.493 Å, c = 4.493 Å
α = 90.00°, β = 90.00°, γ = 90.00°
Space group Pm-3m (No. 221)
Unique sites:
Y 0.000 0.000 0.000
Rh 0.000 0.500 0.500
Cl 0.500 0.500 0.500

Calculated values
Formation energy from raw total energies = 17 kJ/mol of formula units
Mass density = 7.928 g/cm3



[7]
Below is crystalline Y3RhCl3 at its relaxed geometry, with properties calculated at the PBE-GGA level.

a = 6.7594 Å, b = 6.7594 Å, c = 30.8875 Å
α = 90.00°, β = 90.00°, γ = 120.00°
Space group R-3 (No. 148, hexagonal axes)
Unique sites:
Y 0.0000 0.3572 0.4459
Rh 0.0000 0.0000 0.1667
Cl 0.0003 0.3175 0.6092

Calculated values
Formation energy from raw total energies = -1026 kJ/mol of formula units
Mass density = 3.880 g/cm3



[8]
Below is crystalline YRh2Cl at its relaxed geometry, with properties calculated at the PBE-GGA level.

a = 3.764 Å, b = 4.706 Å, c = 8.351 Å
α = 90.00°, β = 90.00°, γ = 90.00°
Space group Imm2 (No. 44)
Unique sites:
Y 0.000 0.000 0.000
Rh 0.000 0.000 0.465
Rh 0.000 0.500 0.189
Cl 0.000 0.500 0.781

Calculated values
Formation energy from raw total energies = -122 kJ/mol of formula units
Mass density = 7.413 g/cm3



[9]
Below is crystalline YRh2Cl at its relaxed geometry, with properties calculated at the PBE-GGA level.

a = 3.443 Å, b = 3.443 Å, c = 7.419 Å
α = 90.00°, β = 90.00°, γ = 90.00°
Space group P4mm (No. 99)
Unique sites:
Y 0.000 0.000 0.000
Rh 0.000 0.000 0.644
Rh 0.500 0.500 0.754
Cl 0.500 0.500 0.216

Calculated values
Formation energy from raw total energies = -211 kJ/mol of formula units
Mass density = 6.234 g/cm3



[10]
Below is crystalline YRh2Cl at its relaxed geometry, with properties calculated at the PBE-GGA level.

a = 3.168 Å, b = 4.666 Å, c = 4.722 Å
α = 90.00°, β = 90.00°, γ = 90.00°
Space group Pmmm (No. 47)
Unique sites:
Y 0.000 0.000 0.000
Rh 0.000 0.500 0.500
Rh 0.500 0.000 0.500
Cl 0.500 0.500 0.000

Calculated values
Formation energy from raw total energies = -132 kJ/mol of formula units
Mass density = 7.854 g/cm3



[11]
Below is crystalline YRhCl2 at its relaxed geometry, with properties calculated at the PBE-GGA level.

a = 10.310 Å, b = 3.562 Å, c = 5.352 Å
α = 90.00°, β = 98.04°, γ = 90.00°
Space group Cm (No. 8)
Unique sites:
Y 0.000 0.000 0.000
Rh 0.139 0.500 0.279
Cl 0.000 0.500 0.589
Cl 0.281 0.000 0.011

Calculated values
Formation energy from raw total energies = -409 kJ/mol of formula units
Mass density = 4.483 g/cm3



[12]
Below is crystalline YRh2Cl at its relaxed geometry, with properties calculated at the PBE-GGA level.

a = 6.610 Å, b = 6.610 Å, c = 6.610 Å
α = 90.00°, β = 90.00°, γ = 90.00°
Space group Fm-3m (No. 225)
Unique sites:
Y 0.000 0.000 0.000
Rh 0.250 0.250 0.250
Cl 0.000 0.000 0.500

Calculated values
Formation energy from raw total energies = -19 kJ/mol of formula units
Mass density = 7.592 g/cm3



Please write out number 12 again, unchanged.
Below is crystalline YRh2Cl at its relaxed geometry, with properties calculated at the PBE-GGA level.

a = 6.610 Å, b = 6.610 Å, c = 6.610 Å
α = 90.00°, β = 90.00°, γ = 90.00°
Space group Fm-3m (No. 225)
Unique sites:
Y 0.000 0.000 0.000
Rh 0.250 0.250 0.250
Cl 0.000 0.000 0.500

Calculated values
Formation energy from raw total energies = -19 kJ/mol of formula units
Mass density = 7.592 g/cm3



> Among the records above, which one has the highest formation energy from raw total energies?

YRh3Cl



> What is the mass density in the fourth record?

3.505 g/cm3